Ca2InGe2: relaxed, GGA-PBE.

Computed properties:
Volume (A^3/atom): 25.1
Energy of formation from the pure elements (eV/atom): -0.481
N(E_F) (states/eV/f.u.): 1.749

```
Ca2InGe2
1.0
-3.138 1.610 -2.663
-1.771 -4.042 -4.024
-5.240 -2.735 0.854
In Ge Ca
1 2 2
Direct
0.000 0.000 0.000
0.500 0.709 0.291
0.500 0.291 0.709
0.211 0.289 0.289
0.789 0.711 0.711
```

CaInGeIr2: relaxed, GGA-PBE.

Computed properties:
ΔE to the lowest computed polymorph (meV per atom): 0
Volume (A^3/atom): 23.0
Energy of formation from the pure elements (eV/atom): 0.400
N(E_F) (states/eV/f.u.): 2.818

```
CaInGeIr2
1.0
-0.993 -3.199 3.210
-2.843 -2.730 -3.601
3.799 -2.379 -1.196
In Ge Ir Ca
1 1 2 1
Direct
0.500 0.500 0.500
0.000 0.000 0.000
0.500 0.000 0.000
0.000 0.000 0.500
0.000 0.500 0.000
```